A relaxed structure of Mg3Zr. Source: the Alexandria database, functional PBE-GGA.

Lattice parameters (Å, degrees): 10.6842 3.0106 5.7080 90.00 100.89 90.00
Sites, in units of the cell vectors:
Mg  0.0000  0.0000  0.0000
Mg  0.2447  0.5000  0.2516
Mg  0.2553  0.0000  0.7484
Mg  0.5000  0.5000  0.0000
Mg  0.7447  0.0000  0.2516
Mg  0.7553  0.5000  0.7484
Zr  0.0000  0.5000  0.5000
Zr  0.5000  0.0000  0.5000

ΔE_f: 84 meV/atom
E_tot: -3.2487 eV per atom
Space group: C2/m (12)